First-principles (PBE) data for crystalline SbPdSe at its relaxed geometry, as listed in Alexandria via LeMat-Bulk.

## Properties
Fermi-level density of states: 0.608 states/eV/atom
Formation energy from raw total energies: -0.42 eV/atom
Symmetry: P2_13 (198)
Raw total energy: -4.6839 eV/atom
Total moment: 0.00 μB/f.u.

Cell: 6.4219 6.4219 6.4219 Å, 90.00 90.00 90.00°
Last column: nearest neighbours and their distance in Å.
Fractional positions:
Pd  0.7533  0.7533  0.7533  3 Se 2.66, 3 Sb 2.68
Sb  0.6265  0.3735  0.8735  1 Se 2.68, 3 Pd 2.68
Se  0.8677  0.1323  0.6323  3 Pd 2.66, 1 Sb 2.68
Pd  0.2467  0.2533  0.7467  3 Se 2.66, 3 Sb 2.68
Sb  0.1265  0.1265  0.1265  1 Se 2.68, 3 Pd 2.68
Pd  0.7467  0.2467  0.2533  3 Se 2.66, 3 Sb 2.68
Se  0.1323  0.6323  0.8677  3 Pd 2.66, 1 Sb 2.68
Sb  0.8735  0.6265  0.3735  1 Se 2.68, 3 Pd 2.68
Sb  0.3735  0.8735  0.6265  1 Se 2.68, 3 Pd 2.68
Se  0.6323  0.8677  0.1323  3 Pd 2.66, 1 Sb 2.68
Se  0.3677  0.3677  0.3677  3 Pd 2.66, 1 Sb 2.68
Pd  0.2533  0.7467  0.2467  3 Se 2.66, 3 Sb 2.68